[1]
Material: TaC3I
Method: DFT, PBE-GGA
State: optimized geometry

Uncorrected formation energy, eV per atom: 2.148
ΔE to the lowest computed polymorph, meV per atom: 0
Crystal system: cubic
Energy, eV/atom: -6.07

abc: 4.3221 4.3221 4.3221
angles: 90.00 90.00 90.00
Last column: nearest neighbours and their distance in Å.
Fractional positions:
I  0.5000  0.5000  0.5000  12 C 3.06
C  0.0000  0.5000  0.0000  2 Ta 2.16
C  0.0000  0.0000  0.5000  2 Ta 2.16
C  0.5000  0.0000  0.0000  2 Ta 2.16
Ta  0.0000  0.0000  0.0000  6 C 2.16



[2]
Material: LaTlSe2O8
Method: DFT, PBE-GGA
State: optimized geometry

Uncorrected formation energy, eV per atom: -1.371
Crystal system: trigonal
Energy, eV/atom: -5.86

abc: 5.5128 5.5128 9.0721
angles: 72.31 72.31 60.00
Last column: nearest neighbours and their distance in Å.
Fractional positions:
La  0.0000  0.0000  0.0000  6 O 2.42
Tl  0.5000  0.5000  0.5000  12 O 3.23-3.45
Se  0.2525  0.2525  0.2425  4 O 1.65-1.68
Se  0.7475  0.7475  0.7575  4 O 1.65-1.68
O  0.1879  0.1879  0.4363  1 Se 1.65
O  0.5674  0.2641  0.1715  1 Se 1.68
O  0.8121  0.8121  0.5637  1 Se 1.65
O  0.9970  0.5674  0.1715  1 Se 1.68
O  0.0030  0.4326  0.8285  1 Se 1.68
O  0.2641  0.9970  0.1715  1 Se 1.68
O  0.7359  0.0030  0.8285  1 Se 1.68
O  0.4326  0.7359  0.8285  1 Se 1.68



[3]
Material: PrSm2DyTe6
Method: DFT, PBE-GGA
State: optimized geometry

Uncorrected formation energy, eV per atom: -1.374
Crystal system: trigonal
Energy, eV/atom: -5.14

abc: 7.8627 7.8627 8.4533
angles: 62.29 62.29 60.00
Last column: nearest neighbours and their distance in Å.
Fractional positions:
Pr  0.8199  0.8199  0.5404  6 Te 3.17-3.23
Sm  0.5121  0.5121  0.4637  6 Te 3.13-3.17
Sm  0.0097  0.0097  0.9710  6 Te 3.11-3.17
Dy  0.3229  0.3229  0.0313  6 Te 3.08-3.11
Te  0.5987  0.2288  0.2491  1 Dy 3.08, 2 Sm 3.13-3.17, 1 Pr 3.23
Te  0.2288  0.9233  0.2492  1 Dy 3.08, 2 Sm 3.13-3.17, 1 Pr 3.23
Te  0.9233  0.5988  0.2491  1 Dy 3.08, 2 Sm 3.13-3.17, 1 Pr 3.23
Te  0.4089  0.7237  0.7538  1 Dy 3.11, 2 Sm 3.11-3.17, 1 Pr 3.17
Te  0.7238  0.1135  0.7538  1 Dy 3.11, 2 Sm 3.11-3.17, 1 Pr 3.17
Te  0.1136  0.4089  0.7538  1 Dy 3.11, 2 Sm 3.11-3.17, 1 Pr 3.17



[4]
Material: Nd8Al2Ag
Method: DFT, PBE-GGA
State: optimized geometry

Energy of formation from the pure elements, eV per atom: -0.15
ΔE to the lowest computed polymorph, meV per atom: 0
Crystal system: monoclinic
Energy, eV/atom: -4.55

abc: 5.2228 6.9479 9.8767
angles: 102.64 105.33 90.00
Last column: nearest neighbours and their distance in Å.
Fractional positions:
Nd  0.4047  0.5322  0.8093  1 Ag 3.34, 5 Nd 3.41-3.70, 2 Al 3.47
Nd  0.6580  0.9684  0.3160  1 Ag 3.07, 3 Al 3.16, 1 Nd 3.41
Nd  0.7946  0.7006  0.5892  3 Al 3.18-3.37, 3 Nd 3.46-3.53
Nd  0.9781  0.2326  0.9562  2 Ag 3.15, 1 Al 3.20, 1 Nd 3.52
Nd  0.2054  0.2994  0.4108  3 Al 3.18-3.37, 3 Nd 3.46-3.53
Nd  0.3420  0.0316  0.6840  1 Ag 3.07, 3 Al 3.16, 1 Nd 3.41
Nd  0.5953  0.4678  0.1907  1 Ag 3.34, 5 Nd 3.41-3.70, 2 Al 3.47
Nd  0.0219  0.7674  0.0438  2 Ag 3.15, 1 Al 3.20, 1 Nd 3.52
Al  0.8126  0.2571  0.6251  9 Nd 3.16-3.47
Al  0.1874  0.7429  0.3749  9 Nd 3.16-3.47
Ag  0.5000  0.0000  0.0000  8 Nd 3.07-3.34



[5]
Material: SrBeCl
Method: DFT, PBE-GGA
State: optimized geometry

Uncorrected formation energy, eV per atom: -0.085
ΔE to the lowest computed polymorph, meV per atom: 209
Crystal system: cubic
Energy, eV/atom: -2.50

abc: 5.1149 5.1149 5.1149
angles: 60.00 60.00 60.00
Last column: nearest neighbours and their distance in Å.
Fractional positions:
Sr  0.7500  0.7500  0.7500  4 Cl 3.13, 4 Be 3.13
Be  0.0000  0.0000  0.0000  4 Sr 3.13
Cl  0.5000  0.5000  0.5000  4 Sr 3.13



[6]
Material: GeH6CI3N3
Method: DFT, PBE-GGA
State: optimized geometry

Crystal system: monoclinic
Energy, eV/atom: -4.90

abc: 9.5425 7.4314 19.0417
angles: 90.00 120.12 90.00
Last column: nearest neighbours and their distance in Å.
Fractional positions:
I  0.6402  0.2277  0.1748  2 H 2.74-2.78, 2 Ge 3.03-3.04
I  0.3598  0.7723  0.8252  2 H 2.74-2.78, 2 Ge 3.03-3.04
I  0.3599  0.7277  0.3252  2 H 2.74-2.78, 2 Ge 3.03-3.04
I  0.6401  0.2723  0.6748  2 H 2.74-2.78, 2 Ge 3.03-3.04
I  0.3495  0.7278  0.1043  2 H 2.75-2.79, 2 Ge 3.02-3.05
I  0.6505  0.2722  0.8957  2 H 2.75-2.79, 2 Ge 3.02-3.05
I  0.6505  0.2278  0.3957  2 H 2.75-2.79, 2 Ge 3.02-3.05
I  0.3495  0.7722  0.6043  2 H 2.75-2.79, 2 Ge 3.02-3.05
I  0.2091  0.2260  0.1792  2 H 2.74-2.79, 2 Ge 3.03-3.04
I  0.7909  0.7740  0.8208  2 H 2.74-2.79, 2 Ge 3.03-3.04
I  0.7909  0.7260  0.3208  2 H 2.74-2.79, 2 Ge 3.03-3.04
I  0.2091  0.2740  0.6792  2 H 2.74-2.79, 2 Ge 3.03-3.04
Ge  0.5010  0.4765  0.2505  6 I 3.02-3.05
Ge  0.4990  0.5235  0.7495  6 I 3.02-3.05
Ge  0.4990  0.9765  0.2495  6 I 3.02-3.05
Ge  0.5010  0.0235  0.7505  6 I 3.02-3.05
C  0.1664  0.2403  0.4160  3 N 1.34
C  0.8336  0.7597  0.5840  3 N 1.34
C  0.8337  0.7403  0.0840  3 N 1.34
C  0.1663  0.2597  0.9160  3 N 1.34
N  0.3283  0.2440  0.4539  2 H 1.02
N  0.6717  0.7560  0.5461  2 H 1.02
N  0.6718  0.7440  0.0461  2 H 1.02
N  0.3282  0.2560  0.9539  2 H 1.02
N  0.0909  0.2471  0.4592  2 H 1.02
N  0.9091  0.7529  0.5408  2 H 1.02
N  0.9091  0.7471  0.0408  2 H 1.02
N  0.0909  0.2529  0.9592  2 H 1.02
N  0.0799  0.2296  0.3350  2 H 1.02
N  0.9201  0.7704  0.6650  2 H 1.02
N  0.9201  0.7296  0.1650  2 H 1.02
N  0.0799  0.2704  0.8350  2 H 1.02
H  0.3890  0.2397  0.4226  1 N 1.02
H  0.6110  0.7603  0.5774  1 N 1.02
H  0.6110  0.7397  0.0774  1 N 1.02
H  0.3890  0.2603  0.9226  1 N 1.02
H  0.3968  0.2509  0.5157  1 N 1.02
H  0.6032  0.7491  0.4843  1 N 1.02
H  0.6032  0.7509  0.9843  1 N 1.02
H  0.3968  0.2491  0.0157  1 N 1.02
H  0.9677  0.2426  0.4318  1 N 1.02
H  0.0323  0.7574  0.5682  1 N 1.02
H  0.0324  0.7426  0.0682  1 N 1.02
H  0.9676  0.2574  0.9318  1 N 1.02
H  0.1536  0.2543  0.5210  1 N 1.02
H  0.8464  0.7457  0.4790  1 N 1.02
H  0.8464  0.7543  0.9790  1 N 1.02
H  0.1536  0.2457  0.0210  1 N 1.02
H  0.9565  0.2299  0.3045  1 N 1.02
H  0.0435  0.7701  0.6955  1 N 1.02
H  0.0436  0.7298  0.1955  1 N 1.02
H  0.9564  0.2702  0.8045  1 N 1.02
H  0.1347  0.2268  0.3008  1 N 1.02
H  0.8653  0.7732  0.6992  1 N 1.02
H  0.8653  0.7268  0.1992  1 N 1.02
H  0.1347  0.2732  0.8008  1 N 1.02